First-principles (PBEsol) data for a relaxed structure of CdSeBr2, as listed in the Alexandria database.

extended XYZ file:
```
4
Lattice="-1.974 1.974 6.406 1.974 -1.974 6.406 1.974 1.974 -6.406" Properties=species:S:1:pos:R:3 pbc="T T T"
Cd 0.000 0.000 0.000
Se 0.000 1.974 3.203
Br 1.974 0.000 3.203
Br 0.000 0.000 6.406
```

The space group is I-4m2, No. 119. For the density of states at the Fermi level, the calculation gives 0.466 states/eV/atom. The calculation puts the total energy at -2.246 eV/atom.